Record 1
Compound: TmZr
Source: OQMD
Functional: PBE
Structure: relaxed

Unit cell a=5.8356 b=8.9843 c=5.3104 alpha=90.00 beta=90.00 gamma=71.05
With the nearest neighbours (Å) after each atom.
Element x y z (fractional)
Tm  0.4170  0.1925  0.0000  5 Zr 3.30-3.59, 7 Tm 3.34-3.44
Tm  0.8094  0.4076  0.0000  5 Zr 3.30-3.59, 7 Tm 3.34-3.44
Tm  0.5857  0.8000  0.0000  10 Zr 3.26-3.35, 2 Tm 3.34
Tm  0.0657  0.1838  0.5000  5 Zr 3.24-3.48, 6 Tm 3.37-3.52
Tm  0.4495  0.4162  0.5000  5 Zr 3.24-3.48, 6 Tm 3.37-3.52
Zr  0.1841  0.6145  0.0000  5 Zr 3.15-3.24, 6 Tm 3.29-3.52
Zr  0.9987  0.9855  0.0000  5 Zr 3.15-3.24, 6 Tm 3.29-3.52
Zr  0.8748  0.6129  0.5000  5 Zr 3.18-3.43, 6 Tm 3.24-3.48
Zr  0.2607  0.8000  0.5000  8 Zr 3.22-3.43, 4 Tm 3.26
Zr  0.6877  0.9871  0.5000  5 Zr 3.18-3.43, 6 Tm 3.24-3.48

Values from the calculation:
Energy above the most stable polymorph in this dataset, meV/atom: 9
Formation energy, eV per formula unit: 0.1
Theoretical density, Mg/m³: 8.20
Crystal system: orthorhombic
Volume, Å³ per cell: 263.33


Record 2
Compound: TmZr
Source: OQMD
Functional: PBE
Structure: relaxed

Unit cell a=5.8618 b=13.5237 c=5.2935 alpha=90.00 beta=90.00 gamma=90.00
With the nearest neighbours (Å) after each atom.
Element x y z (fractional)
Tm  0.0141  0.2377  0.0000  7 Zr 3.20-3.32, 4 Tm 3.36-3.58
Tm  0.4919  0.3750  0.0000  6 Zr 3.25-3.33, 6 Tm 3.36-3.58
Tm  0.0141  0.5123  0.0000  7 Zr 3.20-3.32, 4 Tm 3.36-3.58
Tm  0.4864  0.8750  0.0000  6 Zr 3.36-3.44, 6 Tm 3.36-3.38
Tm  0.3189  0.0119  0.5000  7 Zr 3.20-3.32, 4 Tm 3.36-3.58
Tm  0.8466  0.3750  0.5000  6 Zr 3.35-3.45, 6 Tm 3.37-3.38
Tm  0.3189  0.7381  0.5000  7 Zr 3.20-3.32, 4 Tm 3.36-3.58
Tm  0.8406  0.8750  0.5000  6 Zr 3.25-3.32, 6 Tm 3.36-3.58
Zr  0.9788  0.0016  0.0000  7 Tm 3.20-3.43, 4 Zr 3.22-3.42
Zr  0.5152  0.1292  0.0000  5 Zr 3.19-3.24, 6 Tm 3.27-3.44
Zr  0.5152  0.6208  0.0000  5 Zr 3.19-3.24, 6 Tm 3.27-3.44
Zr  0.9788  0.7484  0.0000  7 Tm 3.20-3.43, 4 Zr 3.22-3.42
Zr  0.8188  0.1205  0.5000  5 Zr 3.19-3.24, 6 Tm 3.28-3.45
Zr  0.3548  0.2481  0.5000  7 Tm 3.20-3.44, 5 Zr 3.22-3.58
Zr  0.3548  0.5019  0.5000  7 Tm 3.20-3.44, 5 Zr 3.22-3.58
Zr  0.8188  0.6295  0.5000  5 Zr 3.19-3.24, 6 Tm 3.28-3.45

Values from the calculation:
Energy above the most stable polymorph in this dataset, meV/atom: 13
Formation energy, eV per formula unit: 0.1
Theoretical density, Mg/m³: 8.24
Crystal system: orthorhombic
Volume, Å³ per cell: 419.63


Record 3
Compound: TmZr
Source: OQMD
Functional: PBE
Structure: relaxed

Unit cell a=5.9341 b=3.3570 c=5.2715 alpha=90.00 beta=90.00 gamma=90.00
With the nearest neighbours (Å) after each atom.
Element x y z (fractional)
Tm  0.5131  0.5000  0.0000  6 Zr 3.28-3.52, 6 Tm 3.33-3.36
Tm  0.3202  0.0000  0.5000  6 Zr 3.28-3.52, 6 Tm 3.33-3.36
Zr  0.9908  0.0000  0.0000  6 Zr 3.25-3.36, 6 Tm 3.28-3.52
Zr  0.8425  0.5000  0.5000  6 Zr 3.25-3.36, 6 Tm 3.28-3.52

Values from the calculation:
Energy above the most stable polymorph in this dataset, meV/atom: 25
Formation energy, eV per formula unit: 0.1
Theoretical density, Mg/m³: 8.23
Crystal system: orthorhombic
Volume, Å³ per cell: 105.01


Record 4
Compound: U
Source: OQMD
Functional: PBE
Structure: relaxed

Unit cell a=3.1311 b=3.1311 c=3.1311 alpha=120.00 beta=90.00 gamma=120.00
With the nearest neighbours (Å) after each atom.
Element x y z (fractional)
U  0.0000  0.0000  0.0000  12 U 3.13

Values from the calculation:
Energy above the most stable polymorph in this dataset, meV/atom: 380
Formation energy, eV per formula unit: 0.4
Theoretical density, Mg/m³: 18.21
Crystal system: cubic
Volume, Å³ per cell: 21.71


Record 5
Compound: U
Source: OQMD
Functional: PBE
Structure: relaxed

Unit cell a=2.9664 b=2.9664 c=2.9664 alpha=109.47 beta=109.47 gamma=109.47
With the nearest neighbours (Å) after each atom.
Element x y z (fractional)
U  0.0000  0.0000  0.0000  8 U 2.97

Values from the calculation:
Energy above the most stable polymorph in this dataset, meV/atom: 279
Formation energy, eV per formula unit: 0.3
Theoretical density, Mg/m³: 19.67
Crystal system: cubic
Volume, Å³ per cell: 20.09


Record 6
Compound: U
Source: OQMD
Functional: PBE
Structure: relaxed

Unit cell a=5.2864 b=5.2864 c=3.6823 alpha=90.00 beta=90.00 gamma=126.84
With the nearest neighbours (Å) after each atom.
Element x y z (fractional)
U  0.1359  0.8641  0.0754  5 U 2.63-2.84
U  0.6359  0.3641  0.4246  5 U 2.63-2.84
U  0.3641  0.6359  0.5754  5 U 2.63-2.84
U  0.8641  0.1359  0.9246  5 U 2.63-2.84

Values from the calculation:
Energy above the most stable polymorph in this dataset, meV/atom: 281
Formation energy, eV per formula unit: 0.3
Theoretical density, Mg/m³: 19.20
Crystal system: orthorhombic
Volume, Å³ per cell: 82.35